Entry 1:
A relaxed structure of CsSb3Au2, computed with PBE.

Values from the calculation:
Final energy = -3.463 eV per atom
Space group = C2/m (12)

Cell: 5.5094 8.8513 9.3751 Å, 106.65 90.00 108.13°
Last column: nearest neighbours and their distance in Å.
Fractional coordinates of all 12 atoms:
Au 0.8421 0.6843 0.2854  4 Sb 2.74-2.84
Au 0.5530 0.1060 0.3759  5 Sb 2.75-3.08
Au 0.4470 0.8940 0.6241  5 Sb 2.75-3.08
Au 0.1579 0.3157 0.7146  4 Sb 2.74-2.84
Cs 0.8507 0.7014 0.9015  1 Au 3.65, 4 Sb 3.76-4.08
Cs 0.1493 0.2986 0.0985  1 Au 3.65, 4 Sb 3.76-4.08
Sb 0.0145 0.0290 0.3578  3 Au 2.77-2.82, 1 Sb 2.85
Sb 0.2758 0.5517 0.5668  2 Au 2.74-2.76, 2 Sb 3.04
Sb 0.3815 0.7630 0.2800  4 Au 2.75-3.08
Sb 0.7242 0.4483 0.4332  2 Au 2.74-2.76, 2 Sb 3.04
Sb 0.9855 0.9710 0.6422  3 Au 2.77-2.82, 1 Sb 2.85
Sb 0.6185 0.2370 0.7200  4 Au 2.75-3.08

***

Entry 2:
A relaxed structure of CsSbAu3, computed with PBE.

Values from the calculation:
Relative energy among the computed polymorphs = 0.58 eV/f.u.
Space group = Cmcm (63)

Cell: 8.8356 8.8356 5.4591 Å, 90.00 90.00 131.27°
Last column: nearest neighbours and their distance in Å.
Fractional coordinates of all 10 atoms:
Au 0.5458 0.0871 0.2500  1 Sb 2.66, 3 Au 2.68-2.97
Au 0.0000 0.0000 0.0000  2 Au 2.73, 2 Sb 2.73
Au 0.4542 0.9129 0.7500  1 Sb 2.66, 3 Au 2.68-2.97
Au 0.0871 0.5458 0.7500  1 Sb 2.66, 3 Au 2.68-2.97
Au 0.0000 0.0000 0.5000  2 Au 2.73, 2 Sb 2.73
Au 0.9129 0.4542 0.2500  1 Sb 2.66, 3 Au 2.68-2.97
Sb 0.1469 0.8531 0.2500  4 Au 2.66-2.73
Sb 0.8531 0.1469 0.7500  4 Au 2.66-2.73
Cs 0.4035 0.5965 0.2500  6 Au 3.63-3.72
Cs 0.5965 0.4035 0.7500  6 Au 3.63-3.72

***

Entry 3:
A relaxed structure of CsSb2Au, computed with PBE.

Values from the calculation:
Relative energy among the computed polymorphs = 0.00 eV/f.u.
Space group = C2/m (12)

Cell: 4.3672 6.0323 6.4263 Å, 94.75 109.86 90.00°
Last column: nearest neighbours and their distance in Å.
Fractional coordinates of all 4 atoms:
Cs 0.7500 0.7500 0.5000  4 Au 3.72, 6 Sb 3.89-4.17
Sb 0.0333 0.1107 0.0666  1 Au 2.68, 2 Sb 2.91
Sb 0.4667 0.3893 0.9334  1 Au 2.68, 2 Sb 2.91
Au 0.2500 0.2500 0.5000  2 Sb 2.68

***

Entry 4:
A relaxed structure of Cs2SbAu, computed with PBE.

Values from the calculation:
Final energy = -2.750 eV per atom
Space group = P2_1/m (11)

Cell: 5.0607 6.8209 12.1108 Å, 116.38 90.00 90.00°
Last column: nearest neighbours and their distance in Å.
Fractional coordinates of all 8 atoms:
Sb 0.7500 0.5613 0.7630  2 Au 2.68
Sb 0.2500 0.4387 0.2370  2 Au 2.68
Au 0.2500 0.4155 0.7271  2 Sb 2.68
Au 0.7500 0.5845 0.2729  2 Sb 2.68
Cs 0.7500 0.2082 0.9389  1 Au 3.70, 4 Sb 3.86-4.11
Cs 0.2500 0.8117 0.5881  2 Au 3.69-3.77, 3 Sb 3.87-4.13
Cs 0.2500 0.7918 0.0611  1 Au 3.70, 4 Sb 3.86-4.11
Cs 0.7500 0.1883 0.4119  2 Au 3.69-3.77, 3 Sb 3.87-4.13

***

Entry 5:
A relaxed structure of Cs5Sb2Au, computed with PBE.

Values from the calculation:
Final energy = -2.429 eV per atom
Space group = R-3m (166)

Cell: 6.5434 6.5434 10.8827 Å, 72.50 72.50 60.00°
Last column: nearest neighbours and their distance in Å.
Fractional coordinates of all 8 atoms:
Cs 0.6366 0.6366 0.0902  3 Au 3.89, 3 Sb 4.17, 4 Cs 4.18-4.20
Cs 0.2158 0.2158 0.3525  4 Sb 3.88-3.91, 3 Cs 4.07
Cs 0.7842 0.7842 0.6475  4 Sb 3.88-3.91, 3 Cs 4.07
Cs 0.5000 0.5000 0.5000  8 Cs 4.07-4.18, 6 Sb 4.48
Cs 0.3634 0.3634 0.9098  3 Au 3.89, 3 Sb 4.17, 4 Cs 4.18-4.20
Au 0.0000 0.0000 0.0000  2 Sb 2.70
Sb 0.9120 0.9120 0.2641  1 Au 2.70
Sb 0.0880 0.0880 0.7359  1 Au 2.70

***

Entry 6:
A relaxed structure of Cs2Sb3Au2, computed with PBE.

Values from the calculation:
Final energy = -3.196 eV per atom
Space group = C2/m (12)

Cell: 4.1342 6.9200 9.4770 Å, 79.56 102.60 90.00°
Last column: nearest neighbours and their distance in Å.
Fractional coordinates of all 7 atoms:
Cs 0.8798 0.5576 0.7597  6 Sb 3.81-4.10, 4 Au 4.02-4.06, 2 Cs 4.13
Cs 0.1202 0.4424 0.2403  6 Sb 3.81-4.10, 4 Au 4.02-4.06, 2 Cs 4.13
Sb 0.0000 0.0000 0.0000  4 Au 2.83
Sb 0.2139 0.8890 0.4278  2 Au 2.84, 2 Sb 3.03
Sb 0.7861 0.1110 0.5722  2 Au 2.84, 2 Sb 3.03
Au 0.6066 0.9454 0.2132  4 Sb 2.83-2.84
Au 0.3934 0.0546 0.7868  4 Sb 2.83-2.84

***

Entry 7:
A relaxed structure of Cs4Sb5Au2, computed with PBE.

Values from the calculation:
Final energy = -3.051 eV per atom
Space group = P2/m (10)

Cell: 6.0590 7.0246 10.8410 Å, 95.98 90.00 90.00°
Last column: nearest neighbours and their distance in Å.
Fractional coordinates of all 11 atoms:
Sb 0.0000 0.4212 0.8660  1 Au 2.70, 1 Sb 3.00
Sb 0.0000 0.3202 0.3429  1 Au 2.76, 2 Sb 2.96-3.05
Sb 0.0000 0.5788 0.1340  1 Au 2.70, 1 Sb 3.00
Sb 0.0000 0.0000 0.5000  2 Au 2.94, 2 Sb 2.96
Sb 0.0000 0.6798 0.6571  1 Au 2.76, 2 Sb 2.96-3.05
Au 0.0000 0.9506 0.2271  3 Sb 2.70-2.94
Au 0.0000 0.0494 0.7729  3 Sb 2.70-2.94
Cs 0.5000 0.2939 0.6205  6 Sb 3.82-4.07, 2 Au 3.93, 2 Cs 4.10-4.24
Cs 0.5000 0.7677 0.8968  1 Cs 3.76, 4 Sb 3.88-4.00, 2 Au 3.93
Cs 0.5000 0.7061 0.3795  6 Sb 3.82-4.07, 2 Au 3.93, 2 Cs 4.10-4.24
Cs 0.5000 0.2323 0.1032  1 Cs 3.76, 4 Sb 3.88-4.00, 2 Au 3.93

***

Entry 8:
A relaxed structure of Cs2Sb3Au, computed with PBE.

Values from the calculation:
Final energy = -3.205 eV per atom
Space group = Pmm2 (25)

Cell: 6.0228 5.1054 8.0420 Å, 90.00 90.00 90.00°
Last column: nearest neighbours and their distance in Å.
Fractional coordinates of all 6 atoms:
Sb 0.5000 0.5000 0.6583  1 Au 2.72, 2 Sb 2.90
Sb 0.5000 0.0000 0.1891  2 Au 2.76, 1 Sb 2.90
Sb 0.5000 0.0000 0.8284  3 Sb 2.90
Cs 0.0000 0.0000 0.4987  8 Sb 3.91-4.15, 4 Au 4.20
Cs 0.0000 0.5000 0.0056  2 Au 3.93, 10 Sb 4.11-4.21
Au 0.5000 0.5000 0.3198  3 Sb 2.72-2.76

***

Entry 9:
A relaxed structure of Cs2Sb3Au5, computed with PBE.

Values from the calculation:
Relative energy among the computed polymorphs = 0.00 eV/f.u.
Space group = P-1 (2)

Cell: 7.4569 12.6670 9.1570 Å, 63.61 126.88 117.20°
Last column: nearest neighbours and their distance in Å.
Fractional coordinates of all 20 atoms:
Au 0.5596 0.1133 0.3037  2 Sb 2.77-2.84, 3 Au 2.87-2.92
Au 0.8475 0.0848 0.7038  3 Sb 2.84-2.85, 2 Au 2.87-2.91
Au 0.3664 0.8111 0.0113  3 Sb 2.81-2.83, 2 Au 2.86-2.92
Au 0.6336 0.1889 0.9887  3 Sb 2.81-2.83, 2 Au 2.86-2.92
Au 0.9250 0.4022 0.1356  3 Sb 2.72-2.81, 2 Au 2.86-2.98
Au 0.1525 0.9152 0.2962  3 Sb 2.84-2.85, 2 Au 2.87-2.91
Au 0.4404 0.8867 0.6963  2 Sb 2.77-2.84, 3 Au 2.87-2.92
Au 0.6571 0.4463 0.4172  3 Sb 2.70-2.89
Au 0.3429 0.5537 0.5828  3 Sb 2.70-2.89
Au 0.0750 0.5978 0.8644  3 Sb 2.72-2.81, 2 Au 2.86-2.98
Sb 0.7531 0.0040 0.9995  5 Au 2.81-2.85
Sb 0.8849 0.3158 0.4479  4 Au 2.70-2.84
Sb 0.6556 0.4247 0.7445  5 Au 2.74-2.89
Sb 0.3444 0.5753 0.2555  5 Au 2.74-2.89
Sb 0.1151 0.6842 0.5521  4 Au 2.70-2.84
Sb 0.2469 0.9960 0.0005  5 Au 2.81-2.85
Cs 0.2283 0.3317 0.9624  6 Au 3.58-3.98, 2 Sb 3.83-3.99
Cs 0.7506 0.8407 0.5146  6 Au 3.60-3.90, 2 Sb 3.83-3.91
Cs 0.7717 0.6683 0.0376  6 Au 3.58-3.98, 2 Sb 3.83-3.99
Cs 0.2494 0.1593 0.4854  6 Au 3.60-3.90, 2 Sb 3.83-3.91

***

Entry 10:
A relaxed structure of Cs4SbAu, computed with PBE.

Values from the calculation:
Final energy = -2.152 eV per atom
Space group = C2/c (15)

Cell: 8.3689 10.1156 10.2430 Å, 113.89 107.52 102.56°
Last column: nearest neighbours and their distance in Å.
Fractional coordinates of all 12 atoms:
Cs 0.9877 0.7478 0.1085  2 Au 3.77-3.82, 2 Sb 3.89-3.93
Cs 0.3756 0.9490 0.6498  2 Au 3.79-3.86, 2 Sb 3.86-3.89
Cs 0.3792 0.6393 0.8915  2 Au 3.77-3.82, 2 Sb 3.89-3.93
Cs 0.6208 0.3607 0.1085  2 Au 3.77-3.82, 2 Sb 3.89-3.93
Cs 0.6244 0.0510 0.3502  2 Au 3.79-3.86, 2 Sb 3.86-3.89
Cs 0.7742 0.7009 0.6498  2 Au 3.79-3.86, 2 Sb 3.86-3.89
Cs 0.2258 0.2991 0.3502  2 Au 3.79-3.86, 2 Sb 3.86-3.89
Cs 0.0123 0.2522 0.8915  2 Au 3.77-3.82, 2 Sb 3.89-3.93
Au 0.2412 0.9912 0.9825  8 Cs 3.77-3.86, 2 Au 4.19
Au 0.7588 0.0088 0.0175  8 Cs 3.77-3.86, 2 Au 4.19
Sb 0.6116 0.3616 0.7232  8 Cs 3.86-3.93
Sb 0.3884 0.6384 0.2768  8 Cs 3.86-3.93

***

Number 8 is which compound?
Cs2Sb3Au